1.
Below is a geometry-optimized Ca2LaUAs4 structure, with properties calculated at the PBE-GGA level.

Lattice parameters (Å, degrees): 4.2723 7.4019 7.2720 109.65 90.00 90.00
With the nearest neighbours (Å) after each atom.
Atoms (fractional coordinates):
U 0.0000 0.0000 0.0000  6 As 2.82-2.89
Ca 0.0000 0.5000 0.5000  6 As 3.13-3.18
As 0.0000 0.7664 0.2364  1 U 2.82, 2 Ca 3.00, 2 La 3.02
As 0.0000 0.2336 0.7636  1 U 2.82, 2 Ca 3.00, 2 La 3.02
As 0.5000 0.2281 0.2308  2 U 2.89, 3 Ca 2.98-3.13, 1 La 3.02
Ca 0.5000 0.0000 0.5000  6 As 2.98-3.00
La 0.5000 0.5000 0.0000  6 As 3.02
As 0.5000 0.7719 0.7692  2 U 2.89, 3 Ca 2.98-3.13, 1 La 3.02

- Formation enthalpy at 0 K: -1.1481 eV per atom
- Total DFT energy (no corrections): -48.002 eV per cell
- Space group: P2/m, No. 10

=====

2.
Below is a geometry-optimized CaPd2C structure, with properties calculated at the PBE-GGA level.

Lattice parameters (Å, degrees): 5.9883 9.0613 6.5990 90.00 123.49 90.00
With the nearest neighbours (Å) after each atom.
Atoms (fractional coordinates):
Ca 0.9489 0.3809 0.6505  2 C 2.68-2.81, 1 Pd 2.97
C 0.6155 0.1105 0.1192  4 Pd 2.01-2.03
Pd 0.4000 0.7388 0.7028  2 C 2.01-2.03
Pd 0.8198 0.0395 0.4666  2 C 2.01-2.02
Pd 0.4000 0.2388 0.2028  2 C 2.01-2.03
Ca 0.4489 0.6191 0.1505  2 C 2.68-2.81, 1 Pd 2.97
Pd 0.3198 0.9605 0.9666  2 C 2.01-2.02
C 0.1155 0.3895 0.1192  4 Pd 2.01-2.03
Ca 0.4489 0.1191 0.6505  2 C 2.68-2.81, 1 Pd 2.97
Pd 0.8198 0.5395 0.9666  2 C 2.01-2.02
Ca 0.9489 0.8809 0.1505  2 C 2.68-2.81, 1 Pd 2.97
Pd 0.3198 0.4605 0.4666  2 C 2.01-2.02
Pd 0.9000 0.7612 0.7028  2 C 2.01-2.03
Pd 0.9000 0.2612 0.2028  2 C 2.01-2.03
C 0.6155 0.6105 0.6192  4 Pd 2.01-2.03
C 0.1155 0.8895 0.6192  4 Pd 2.01-2.03

- Formation enthalpy at 0 K: -0.0898 eV per atom
- Total DFT energy (no corrections): -87.881 eV per cell
- Space group: Cc, No. 9

=====

3.
Below is a geometry-optimized Li2CePmS4 structure, with properties calculated at the PBE-GGA level.

Lattice parameters (Å, degrees): 4.0453 6.9971 6.6101 110.58 90.00 90.00
With the nearest neighbours (Å) after each atom.
Atoms (fractional coordinates):
Ce 0.5000 0.5000 0.0000  6 S 2.82
S 0.5000 0.2513 0.2561  3 Li 2.77-2.78, 2 Pm 2.82, 1 Ce 2.82
Li 0.5000 0.0000 0.5000  6 S 2.77-2.78
S 0.0000 0.7521 0.2562  3 Li 2.78, 1 Pm 2.82, 2 Ce 2.82
S 0.5000 0.7487 0.7439  3 Li 2.77-2.78, 2 Pm 2.82, 1 Ce 2.82
Li 0.0000 0.5000 0.5000  6 S 2.78
S 0.0000 0.2479 0.7438  3 Li 2.78, 1 Pm 2.82, 2 Ce 2.82
Pm 0.0000 0.0000 0.0000  6 S 2.82

- Uncorrected formation energy: -1757 meV/atom
- Total DFT energy (no corrections): -45.076 eV per cell
- Space group: P2/m, No. 10

=====

4.
Below is a geometry-optimized KLa2Ge structure, with properties calculated at the PBE-GGA level.

Lattice parameters (Å, degrees): 9.1781 9.1781 7.4303 51.86 51.86 90.00
With the nearest neighbours (Å) after each atom.
Atoms (fractional coordinates):
La 0.3750 0.3112 0.7500  2 Ge 3.00
K 0.2500 0.7500 0.5000  2 Ge 3.62, 8 La 3.79-3.94
K 0.5000 0.5000 0.0000  2 Ge 3.62, 8 La 3.79-3.94
Ge 0.7500 0.2500 0.5000  4 La 3.00
La 0.0612 0.6250 0.2500  2 Ge 3.00
La 0.6888 0.1250 0.2500  2 Ge 3.00
Ge 0.0000 0.0000 0.0000  4 La 3.00
La 0.8750 0.9388 0.7500  2 Ge 3.00

- Formation enthalpy at 0 K: 0.0305 eV per atom
- Total DFT energy (no corrections): -30.896 eV per cell
- Space group: I-42d, No. 122

=====

5.
Below is a geometry-optimized ReMoRuBr2 structure, with properties calculated at the PBE-GGA level.

Lattice parameters (Å, degrees): 4.9098 4.8466 4.9098 90.00 90.00 90.00
With the nearest neighbours (Å) after each atom.
Atoms (fractional coordinates):
Br 0.5000 0.0000 0.0000  2 Ru 2.45
Ru 0.0000 0.0000 0.0000  2 Mo 2.42, 4 Br 2.45
Br 0.0000 0.0000 0.5000  2 Ru 2.45
Mo 0.0000 0.5000 0.0000  2 Ru 2.42
Re 0.5000 0.5000 0.5000  8 Br 3.45, 4 Mo 3.47

- Uncorrected formation energy: 1973 meV/atom
- Total DFT energy (no corrections): -26.036 eV per cell
- Space group: P4/mmm, No. 123

=====

6.
Below is a geometry-optimized Pr2VGe4Pt3 structure, with properties calculated at the PBE-GGA level.

Lattice parameters (Å, degrees): 4.2938 4.2938 10.5805 90.00 90.00 90.00
With the nearest neighbours (Å) after each atom.
Atoms (fractional coordinates):
Pr 0.5000 0.0000 0.2463  6 Pt 3.28-3.44, 8 Ge 3.29-3.38, 2 V 3.44
Ge 0.5000 0.0000 0.6332  3 Pt 2.53-2.57, 2 V 2.57
Pt 0.0000 0.0000 0.5000  4 Ge 2.57
Ge 0.0000 0.0000 0.0000  4 Pt 2.54
Ge 0.0000 0.5000 0.3668  3 Pt 2.53-2.57, 2 V 2.57
Pr 0.0000 0.5000 0.7537  6 Pt 3.28-3.44, 8 Ge 3.29-3.38, 2 V 3.44
Pt 0.5000 0.0000 0.8721  5 Ge 2.53-2.54
Ge 0.5000 0.5000 0.0000  4 Pt 2.54
Pt 0.0000 0.5000 0.1279  5 Ge 2.53-2.54
V 0.5000 0.5000 0.5000  4 Ge 2.57

- Formation enthalpy at 0 K: -0.8275 eV per atom
- Total DFT energy (no corrections): -63.545 eV per cell
- Space group: P-4m2, No. 115

=====

7.
Below is a geometry-optimized SrLiTc structure, with properties calculated at the PBE-GGA level.

Lattice parameters (Å, degrees): 7.4701 7.4699 3.0299 78.30 78.30 23.40
With the nearest neighbours (Å) after each atom.
Atoms (fractional coordinates):
Tc 0.6538 0.6538 0.3462  4 Li 2.78, 4 Tc 3.03
Sr 0.3162 0.3162 0.6838  4 Sr 3.03, 4 Tc 3.16
Li 0.0300 0.0300 0.9700  4 Tc 2.78, 4 Li 3.03

- Formation enthalpy at 0 K: 0.8346 eV per atom
- Total DFT energy (no corrections): -11.458 eV per cell
- Offset from the most stable computed form: 6.3 kJ per mole of atoms
- Space group: I4mm, No. 107

=====

8.
Below is a geometry-optimized Na12Se3Cl5 structure, with properties calculated at the PBE-GGA level.

Lattice parameters (Å, degrees): 14.4042 14.4042 14.4042 109.47 109.47 109.47
With the nearest neighbours (Å) after each atom.
Atoms (fractional coordinates):
Na 0.9133 0.0856 0.8607  2 Cl 2.65-2.85
Na 0.2248 0.5525 0.6393  2 Cl 2.65-2.85
Na 0.7752 0.4475 0.3607  2 Cl 2.65-2.85
Na 0.8277 0.9133 0.0525  2 Cl 2.65-2.85
Na 0.4144 0.1393 0.5867  2 Cl 2.65-2.85
Cl 0.8750 0.2500 0.6250  4 Na 2.65
Na 0.5525 0.3277 0.9133  2 Cl 2.65-2.85
Na 0.5525 0.2248 0.1393  2 Cl 2.65-2.85
Na 0.1723 0.0856 0.7248  2 Cl 2.65-2.85
Cl 0.3750 0.2500 0.1250  4 Na 2.65
Na 0.8607 0.5856 0.9133  2 Cl 2.65-2.85
Se 0.3750 0.6250 0.2500  8 Na 3.05-3.07
Cl 0.0000 0.0000 0.5000  6 Na 2.85
Na 0.9144 0.0867 0.6393  2 Cl 2.65-2.85
Na 0.3607 0.9475 0.7752  2 Cl 2.65-2.85
Se 0.7500 0.3750 0.1250  8 Na 3.05-3.07
Na 0.2752 0.4144 0.8277  2 Cl 2.65-2.85
Cl 0.6250 0.8750 0.2500  4 Na 2.65
Na 0.4133 0.0525 0.3277  2 Cl 2.65-2.85
Cl 0.2500 0.3750 0.6250  4 Na 2.65
Na 0.9133 0.8277 0.5525  2 Cl 2.65-2.85
Na 0.0525 0.4133 0.8277  2 Cl 2.65-2.85
Na 0.6393 0.5867 0.9144  2 Cl 2.65-2.85
Cl 0.2500 0.8750 0.1250  4 Na 2.65
Cl 0.1250 0.3750 0.2500  4 Na 2.65
Se 0.1250 0.2500 0.8750  8 Na 3.05-3.07
Cl 0.6250 0.7500 0.8750  4 Na 2.65
Cl 0.8750 0.6250 0.7500  4 Na 2.65
Na 0.8607 0.2752 0.4475  2 Cl 2.65-2.85
Cl 0.5000 0.5000 0.5000  6 Na 2.85
Se 0.7500 0.8750 0.6250  8 Na 3.05-3.07
Na 0.5867 0.6393 0.4144  2 Cl 2.65-2.85
Na 0.7248 0.1393 0.0525  2 Cl 2.65-2.85
Na 0.6393 0.0525 0.2248  2 Cl 2.65-2.85
Se 0.2500 0.6250 0.8750  8 Na 3.05-3.07
Na 0.7752 0.3277 0.9144  2 Cl 2.65-2.85
Cl 0.1250 0.7500 0.3750  4 Na 2.65
Na 0.0856 0.9133 0.3607  2 Cl 2.65-2.85
Na 0.5867 0.9475 0.6723  2 Cl 2.65-2.85
Na 0.6723 0.2248 0.5856  2 Cl 2.65-2.85
Na 0.0525 0.6393 0.7248  2 Cl 2.65-2.85
Se 0.1250 0.8750 0.7500  8 Na 3.05-3.07
Na 0.2752 0.8607 0.9475  2 Cl 2.65-2.85
Na 0.0856 0.1723 0.2248  2 Cl 2.65-2.85
Na 0.3607 0.4133 0.0856  2 Cl 2.65-2.85
Na 0.4144 0.2752 0.3277  2 Cl 2.65-2.85
Se 0.6250 0.2500 0.3750  8 Na 3.05-3.07
Na 0.1393 0.4144 0.0867  2 Cl 2.65-2.85
Na 0.0867 0.1723 0.4475  2 Cl 2.65-2.85
Cl 0.0000 0.5000 0.5000  6 Na 2.85
Na 0.3277 0.7752 0.4144  2 Cl 2.65-2.85
Na 0.4133 0.3607 0.5856  2 Cl 2.65-2.85
Se 0.6250 0.3750 0.7500  8 Na 3.05-3.07
Na 0.7248 0.5856 0.1723  2 Cl 2.65-2.85
Se 0.2500 0.1250 0.3750  8 Na 3.05-3.07
Na 0.0867 0.9144 0.1393  2 Cl 2.65-2.85
Na 0.9475 0.3607 0.2752  2 Cl 2.65-2.85
Cl 0.0000 0.5000 0.0000  6 Na 2.85
Se 0.8750 0.7500 0.1250  8 Na 3.05-3.07
Cl 0.5000 0.0000 0.0000  6 Na 2.85
Se 0.3750 0.7500 0.6250  8 Na 3.05-3.07
Cl 0.3750 0.1250 0.7500  4 Na 2.65
Na 0.9475 0.5867 0.1723  2 Cl 2.65-2.85
Na 0.9144 0.8277 0.7752  2 Cl 2.65-2.85
Na 0.1393 0.7248 0.5525  2 Cl 2.65-2.85
Cl 0.7500 0.6250 0.3750  4 Na 2.65
Cl 0.5000 0.0000 0.5000  6 Na 2.85
Na 0.3277 0.5525 0.4133  2 Cl 2.65-2.85
Cl 0.0000 0.0000 0.0000  6 Na 2.85
Na 0.5856 0.7248 0.6723  2 Cl 2.65-2.85
Na 0.8277 0.9144 0.2752  2 Cl 2.65-2.85
Cl 0.5000 0.5000 0.0000  6 Na 2.85
Se 0.8750 0.1250 0.2500  8 Na 3.05-3.07
Na 0.5856 0.8607 0.4133  2 Cl 2.65-2.85
Na 0.2248 0.6723 0.0856  2 Cl 2.65-2.85
Na 0.6723 0.4475 0.5867  2 Cl 2.65-2.85
Na 0.1723 0.0867 0.9475  2 Cl 2.65-2.85
Cl 0.7500 0.1250 0.8750  4 Na 2.65
Na 0.4475 0.6723 0.0867  2 Cl 2.65-2.85
Na 0.4475 0.7752 0.8607  2 Cl 2.65-2.85

- Uncorrected formation energy: -1284 meV/atom
- Total DFT energy (no corrections): -244.751 eV per cell
- Space group: Ia-3d, No. 230

=====

no.,DOS at the Fermi energy (states/eV per atom)
1,0.616
2,0.278
3,0.778
4,1.260
5,1.248
6,0.616
7,0.930
8,0.075